# 1
First-principles (PBE) data for Pr4MgCd3 after structural relaxation, as listed in Alexandria.

offset from the most stable computed form	0.39	eV/f.u.
total energy	-25.22	eV for the cell shown
ΔE_f	-221	meV per atom

a b c (Å): 3.6132 5.0547 12.8684
angles (deg): 90.00 90.00 90.00
Atoms (fractional coordinates):
Pr  0.0000  0.0000  0.0000
Pr  0.0000  0.5000  0.3218
Pr  0.5000  0.0000  0.4965
Pr  0.5000  0.5000  0.8264
Mg  0.0000  0.0000  0.7249
Cd  0.0000  0.5000  0.5953
Cd  0.5000  0.0000  0.2289
Cd  0.5000  0.5000  0.0941

=====

# 2
First-principles (PBE) data for PrMgCdRh after structural relaxation, as listed in Alexandria.

total energy	-63.59	eV for the cell shown
ΔE_f	-314	meV per atom

a b c (Å): 7.0788 7.0788 7.0788
angles (deg): 90.00 90.00 90.00
Atoms (fractional coordinates):
Pr  0.0000  0.0000  0.0000
Pr  0.0000  0.5000  0.5000
Pr  0.5000  0.0000  0.5000
Pr  0.5000  0.5000  0.0000
Mg  0.0000  0.0000  0.5000
Mg  0.0000  0.5000  0.0000
Mg  0.5000  0.0000  0.0000
Mg  0.5000  0.5000  0.5000
Cd  0.2500  0.2500  0.7500
Cd  0.2500  0.7500  0.2500
Cd  0.7500  0.2500  0.2500
Cd  0.7500  0.7500  0.7500
Rh  0.2500  0.2500  0.2500
Rh  0.2500  0.7500  0.7500
Rh  0.7500  0.2500  0.7500
Rh  0.7500  0.7500  0.2500

=====

# 3
First-principles (PBE) data for PrSmMgCd after structural relaxation, as listed in Alexandria.

total energy	-12.85	eV for the cell shown
ΔE_f	-212	meV per atom

a b c (Å): 3.8677 3.8677 7.7080
angles (deg): 90.00 90.00 90.00
Atoms (fractional coordinates):
Pr  0.0000  0.0000  0.0000
Sm  0.0000  0.0000  0.5000
Mg  0.5000  0.5000  0.7442
Cd  0.5000  0.5000  0.2593

=====

# 4
First-principles (PBE) data for PrSmMgCd after structural relaxation, as listed in Alexandria.

total energy	-51.39	eV for the cell shown
ΔE_f	-210	meV per atom

a b c (Å): 7.7192 7.7192 7.7192
angles (deg): 90.00 90.00 90.00
Atoms (fractional coordinates):
Pr  0.0000  0.0000  0.0000
Pr  0.0000  0.5000  0.5000
Pr  0.5000  0.0000  0.5000
Pr  0.5000  0.5000  0.0000
Sm  0.0000  0.0000  0.5000
Sm  0.0000  0.5000  0.0000
Sm  0.5000  0.0000  0.0000
Sm  0.5000  0.5000  0.5000
Mg  0.2500  0.2500  0.7500
Mg  0.2500  0.7500  0.2500
Mg  0.7500  0.2500  0.2500
Mg  0.7500  0.7500  0.7500
Cd  0.2500  0.2500  0.2500
Cd  0.2500  0.7500  0.7500
Cd  0.7500  0.2500  0.7500
Cd  0.7500  0.7500  0.2500

=====

# 5
First-principles (PBE) data for Tb2PrMg2Cd2 after structural relaxation, as listed in Alexandria.

total energy	-19.82	eV for the cell shown
ΔE_f	-109	meV per atom

a b c (Å): 9.1227 9.1227 9.1227
angles (deg): 32.30 32.30 32.30
Atoms (fractional coordinates):
Tb  0.1287  0.1287  0.1287
Tb  0.8713  0.8713  0.8713
Pr  0.0000  0.0000  0.0000
Mg  0.2646  0.2646  0.2646
Mg  0.7354  0.7354  0.7354
Cd  0.4060  0.4060  0.4060
Cd  0.5940  0.5940  0.5940

=====

# 6
First-principles (PBE) data for PrMg2Tl2Cd2 after structural relaxation, as listed in Alexandria.

total energy	-31.45	eV for the cell shown
ΔE_f	-171	meV per atom

a b c (Å): 8.3322 5.0506 8.9792
angles (deg): 90.00 110.76 90.00
Atoms (fractional coordinates):
Pr  0.0000  0.0000  0.0000
Pr  0.5000  0.5000  0.0000
Mg  0.1444  0.0000  0.4196
Mg  0.3556  0.5000  0.5804
Mg  0.6444  0.5000  0.4196
Mg  0.8556  0.0000  0.5804
Tl  0.2370  0.5000  0.1954
Tl  0.2630  0.0000  0.8046
Tl  0.7370  0.0000  0.1954
Tl  0.7630  0.5000  0.8046
Cd  0.0552  0.5000  0.6862
Cd  0.4448  0.0000  0.3138
Cd  0.5552  0.0000  0.6862
Cd  0.9448  0.5000  0.3138

=====

# 7
First-principles (PBE) data for PrTmMgCd after structural relaxation, as listed in Alexandria.

total energy	-12.53	eV for the cell shown
ΔE_f	-193	meV per atom

a b c (Å): 3.7604 3.7604 7.8124
angles (deg): 90.00 90.00 90.00
Atoms (fractional coordinates):
Pr  0.0000  0.0000  0.0000
Tm  0.0000  0.0000  0.4965
Mg  0.5000  0.5000  0.7326
Cd  0.5000  0.5000  0.2726

=====

# 8
First-principles (PBE) data for PrTmMgCd after structural relaxation, as listed in Alexandria.

total energy	-50.13	eV for the cell shown
ΔE_f	-193	meV per atom

a b c (Å): 7.6192 7.6192 7.6192
angles (deg): 90.00 90.00 90.00
Atoms (fractional coordinates):
Pr  0.0000  0.0000  0.0000
Pr  0.0000  0.5000  0.5000
Pr  0.5000  0.0000  0.5000
Pr  0.5000  0.5000  0.0000
Tm  0.0000  0.0000  0.5000
Tm  0.0000  0.5000  0.0000
Tm  0.5000  0.0000  0.0000
Tm  0.5000  0.5000  0.5000
Mg  0.2500  0.2500  0.2500
Mg  0.2500  0.7500  0.7500
Mg  0.7500  0.2500  0.7500
Mg  0.7500  0.7500  0.2500
Cd  0.2500  0.2500  0.7500
Cd  0.2500  0.7500  0.2500
Cd  0.7500  0.2500  0.2500
Cd  0.7500  0.7500  0.7500

=====

# 9
First-principles (PBE) data for PrYMgCd after structural relaxation, as listed in Alexandria.

total energy	-14.62	eV for the cell shown
ΔE_f	-218	meV per atom

a b c (Å): 3.8161 3.8161 7.7438
angles (deg): 90.00 90.00 90.00
Atoms (fractional coordinates):
Pr  0.0000  0.0000  0.0000
Y  0.0000  0.0000  0.4981
Mg  0.5000  0.5000  0.7368
Cd  0.5000  0.5000  0.2661

=====

# 10
First-principles (PBE) data for PrYMgCd after structural relaxation, as listed in Alexandria.

total energy	-58.52	eV for the cell shown
ΔE_f	-219	meV per atom

a b c (Å): 7.6699 7.6699 7.6699
angles (deg): 90.00 90.00 90.00
Atoms (fractional coordinates):
Pr  0.0000  0.0000  0.0000
Pr  0.0000  0.5000  0.5000
Pr  0.5000  0.0000  0.5000
Pr  0.5000  0.5000  0.0000
Y  0.0000  0.0000  0.5000
Y  0.0000  0.5000  0.0000
Y  0.5000  0.0000  0.0000
Y  0.5000  0.5000  0.5000
Mg  0.2500  0.2500  0.2500
Mg  0.2500  0.7500  0.7500
Mg  0.7500  0.2500  0.7500
Mg  0.7500  0.7500  0.2500
Cd  0.2500  0.2500  0.7500
Cd  0.2500  0.7500  0.2500
Cd  0.7500  0.2500  0.2500
Cd  0.7500  0.7500  0.7500

=====

# 11
First-principles (PBE) data for PrMgZnCd after structural relaxation, as listed in Alexandria.

total energy	-39.28	eV for the cell shown
ΔE_f	-314	meV per atom

a b c (Å): 7.2058 7.2058 7.2058
angles (deg): 90.00 90.00 90.00
Atoms (fractional coordinates):
Pr  0.0000  0.0000  0.0000
Pr  0.0000  0.5000  0.5000
Pr  0.5000  0.0000  0.5000
Pr  0.5000  0.5000  0.0000
Mg  0.0000  0.0000  0.5000
Mg  0.0000  0.5000  0.0000
Mg  0.5000  0.0000  0.0000
Mg  0.5000  0.5000  0.5000
Zn  0.2500  0.2500  0.7500
Zn  0.2500  0.7500  0.2500
Zn  0.7500  0.2500  0.2500
Zn  0.7500  0.7500  0.7500
Cd  0.2500  0.2500  0.2500
Cd  0.2500  0.7500  0.7500
Cd  0.7500  0.2500  0.7500
Cd  0.7500  0.7500  0.2500

=====

# 12
First-principles (PBE) data for Pr4MgZn2Cd after structural relaxation, as listed in Alexandria.

total energy	-26.09	eV for the cell shown
ΔE_f	-240	meV per atom

a b c (Å): 9.3422 9.3422 9.3422
angles (deg): 33.44 33.44 33.44
Atoms (fractional coordinates):
Pr  0.1244  0.1244  0.1244
Pr  0.3747  0.3747  0.3747
Pr  0.6253  0.6253  0.6253
Pr  0.8756  0.8756  0.8756
Mg  0.5000  0.5000  0.5000
Zn  0.2463  0.2463  0.2463
Zn  0.7537  0.7537  0.7537
Cd  0.0000  0.0000  0.0000

=====

# 13
First-principles (PBE) data for PrMgZrCd after structural relaxation, as listed in Alexandria.

total energy	-63.60	eV for the cell shown
ΔE_f	-16	meV per atom

a b c (Å): 7.4064 7.4064 7.4064
angles (deg): 90.00 90.00 90.00
Atoms (fractional coordinates):
Pr  0.0000  0.0000  0.0000
Pr  0.0000  0.5000  0.5000
Pr  0.5000  0.0000  0.5000
Pr  0.5000  0.5000  0.0000
Mg  0.2500  0.2500  0.2500
Mg  0.2500  0.7500  0.7500
Mg  0.7500  0.2500  0.7500
Mg  0.7500  0.7500  0.2500
Zr  0.0000  0.0000  0.5000
Zr  0.0000  0.5000  0.0000
Zr  0.5000  0.0000  0.0000
Zr  0.5000  0.5000  0.5000
Cd  0.2500  0.2500  0.7500
Cd  0.2500  0.7500  0.2500
Cd  0.7500  0.2500  0.2500
Cd  0.7500  0.7500  0.7500

=====

# 14
First-principles (PBE) data for MgCdPt2 after structural relaxation, as listed in Alexandria.

total energy	-15.88	eV for the cell shown
ΔE_f	-322	meV per atom

a b c (Å): 2.9226 2.9226 8.1928
angles (deg): 90.00 90.00 90.00
Atoms (fractional coordinates):
Mg  0.0000  0.0000  0.0000
Cd  0.5000  0.5000  0.6998
Pt  0.0000  0.0000  0.4538
Pt  0.5000  0.5000  0.2121

=====

# 15
First-principles (PBE) data for Mg8CdPt2 after structural relaxation, as listed in Alexandria.

total energy	-30.20	eV for the cell shown
ΔE_f	-404	meV per atom

a b c (Å): 4.6924 6.6290 8.0613
angles (deg): 113.18 105.66 91.87
Atoms (fractional coordinates):
Mg  0.0000  0.0000  0.0000
Mg  0.0299  0.4837  0.0732
Mg  0.2320  0.3590  0.4421
Mg  0.3685  0.8738  0.6582
Mg  0.4541  0.6000  0.8975
Mg  0.6245  0.0841  0.2533
Mg  0.6553  0.6615  0.3220
Mg  0.9145  0.1537  0.6642
Cd  0.8458  0.5852  0.6632
Pt  0.1518  0.9156  0.3294
Pt  0.4796  0.2449  0.9833

=====

# 16
First-principles (PBE) data for Mg4CdPt3 after structural relaxation, as listed in Alexandria.

total energy	-30.71	eV for the cell shown
ΔE_f	-662	meV per atom

a b c (Å): 3.6401 4.3216 8.6217
angles (deg): 90.00 90.00 90.00
Atoms (fractional coordinates):
Mg  0.0000  0.0000  0.0000
Mg  0.0000  0.0000  0.5000
Mg  0.0000  0.5000  0.2332
Mg  0.0000  0.5000  0.7668
Cd  0.5000  0.5000  0.5000
Pt  0.5000  0.0000  0.2505
Pt  0.5000  0.0000  0.7495
Pt  0.5000  0.5000  0.0000

=====

# 17
First-principles (PBE) data for MgCdPt2 after structural relaxation, as listed in Alexandria.

total energy	-17.00	eV for the cell shown
ΔE_f	-603	meV per atom

a b c (Å): 2.9951 3.7441 5.9832
angles (deg): 90.00 90.00 90.00
Atoms (fractional coordinates):
Mg  0.0000  0.0000  0.0000
Cd  0.0000  0.0000  0.5000
Pt  0.5000  0.5000  0.2392
Pt  0.5000  0.5000  0.7608

=====

# 18
First-principles (PBE) data for MgCd3Pt3 after structural relaxation, as listed in Alexandria.

total energy	-50.53	eV for the cell shown
ΔE_f	-400	meV per atom

a b c (Å): 6.6876 6.6876 5.9698
angles (deg): 90.00 90.00 91.06
Atoms (fractional coordinates):
Mg  0.2367  0.7633  0.0000
Mg  0.7633  0.2367  0.0000
Cd  0.2642  0.2642  0.0000
Cd  0.2637  0.7363  0.5000
Cd  0.2660  0.2660  0.5000
Cd  0.7340  0.7340  0.5000
Cd  0.7363  0.2637  0.5000
Cd  0.7358  0.7358  0.0000
Pt  0.0000  0.0000  0.2558
Pt  0.0000  0.0000  0.7442
Pt  0.0000  0.5000  0.2437
Pt  0.0000  0.5000  0.7563
Pt  0.5000  0.0000  0.2437
Pt  0.5000  0.0000  0.7563

=====

# 19
First-principles (PBE) data for MgCdPt2 after structural relaxation, as listed in Alexandria.

total energy	-32.49	eV for the cell shown
ΔE_f	-414	meV per atom

a b c (Å): 9.0554 2.9711 5.1679
angles (deg): 90.00 101.46 90.00
Atoms (fractional coordinates):
Mg  0.0000  0.0000  0.0000
Mg  0.5000  0.5000  0.0000
Cd  0.0000  0.5000  0.5000
Cd  0.5000  0.0000  0.5000
Pt  0.2439  0.5000  0.2402
Pt  0.2561  0.0000  0.7598
Pt  0.7439  0.0000  0.2402
Pt  0.7561  0.5000  0.7598

=====

# 20
First-principles (PBE) data for MgCd2Pt2 after structural relaxation, as listed in Alexandria.

offset from the most stable computed form	0.52	eV/f.u.
total energy	-34.12	eV for the cell shown
ΔE_f	-311	meV per atom

a b c (Å): 7.9316 7.9316 3.0165
angles (deg): 90.00 90.00 90.00
Atoms (fractional coordinates):
Mg  0.0000  0.0000  0.0000
Mg  0.5000  0.5000  0.0000
Cd  0.1279  0.3721  0.0000
Cd  0.3721  0.8721  0.0000
Cd  0.6279  0.1279  0.0000
Cd  0.8721  0.6279  0.0000
Pt  0.1716  0.6716  0.5000
Pt  0.3284  0.1716  0.5000
Pt  0.6716  0.8284  0.5000
Pt  0.8284  0.3284  0.5000